BaHg2Pd2 | PBEsol | relaxed

## Properties
V, Å³ per cell: 235.8
ΔE_f, eV/f.u.: -1.9
Mass density, Mg/m³: 10.58

Unit cell a=4.497 b=4.497 c=11.660 alpha=90.00 beta=90.00 gamma=90.00
Space group I4/mmm (No. 139)
Inequivalent atoms, fractional coordinates:
Ba: 0.000 0.000 0.000 x2
Hg: 0.000 0.000 0.379 x4
Pd: 0.000 0.500 0.250 x4

BaHgPt2 | PBEsol | relaxed

## Properties
V, Å³ per cell: 303.2
ΔE_f, eV/f.u.: -1.7
Mass density, Mg/m³: 11.96

Unit cell a=4.4447 b=4.4447 c=17.7211 alpha=90.00 beta=90.00 gamma=120.00
Space group R3m (No. 160, hexagonal axes)
Inequivalent atoms, fractional coordinates:
Ba: 0.0000 0.0000 0.0000 x3
Hg: 0.0000 0.0000 0.7948 x3
Pt: 0.0000 0.0000 0.2091 x3
Pt: 0.0000 0.0000 0.5410 x3